(1)
DyFePd6 (GGA-PBE, optimized geometry); magnetic moment = 4.2 Bohr magnetons per cell; crystal system = tetragonal; formation energy from the elements = -0.466 eV/atom; VASP energy = -47.95 eV per formula unit
1.0
4.0219 0.0000 0.0000
0.0000 4.0219 0.0000
0.0000 0.0000 7.9792
Dy Fe Pd
1 1 6
Cartesian
0.0000 0.0000 0.0000
0.0000 0.0000 3.9896
2.0109 2.0109 0.0000
2.0109 2.0109 3.9896
2.0109 0.0000 2.1293
2.0109 0.0000 5.8500
0.0000 2.0109 2.1293
0.0000 2.0109 5.8500

***

(2)
Na8LiTl2 (GGA-PBE, optimized geometry); magnetic moment = 0.0 Bohr magnetons per cell; crystal system = monoclinic; formation energy from the elements = 0.010 eV/atom; VASP energy = -17.08 eV per formula unit
1.0
5.8971 -0.5754 -0.8636
-1.8063 8.8203 -0.9291
-1.8063 -4.2545 7.7820
Na Li Tl
8 1 2
Cartesian
2.1960 4.6613 3.5517
2.1960 1.4824 5.6696
-0.3946 2.5938 3.8931
1.1423 5.7980 0.4610
1.1423 -1.8076 5.5283
2.6792 1.3966 2.0963
0.0886 2.5080 0.3198
0.0886 -0.6708 2.4377
2.9486 -0.2877 -0.4318
-1.8063 -0.1939 5.0767
-1.8063 4.7597 1.7763